DFT (PBE) results for Cs2TlBiI6 after structural relaxation.

Cell lengths 12.843, 12.843, 12.843 Å; angles 90.00, 90.00, 90.00 degrees
Space group Fm-3m (No. 225)
Asymmetric unit:
Cs1 0.250 0.250 0.250 [8 per cell]
Tl1 0.000 0.000 0.000 [4 per cell]
Bi1 0.000 0.000 0.500 [4 per cell]
I1 0.000 0.000 0.259 [24 per cell]

Summary:
- DOS at the Fermi energy: 0.000 states/eV/f.u.
- Crystal system: cubic
- Formation energy (no corrections): -0.940 eV per atom
- ΔE to the lowest computed polymorph: 0.0225 eV/atom